1.
{
  "formula": "Rb3Nb5O12",
  "functional": "PBE",
  "state": "optimized geometry",
  "final_energy_ha_per_atom": -0.290,
  "raw_formation_energy_ev_per_atom": -2.2585,
  "lattice_angstrom": [[-9.725, 6.887, -1.384], [-1.593, -7.334, 9.359], [9.579, 6.954, 1.953]],
  "species": ["O", "O", "O", "O", "Nb", "Nb", "Rb", "Nb", "Nb", "O", "Rb", "O", "O", "O", "O", "O", "O", "Nb", "Nb", "Nb", "Rb", "Nb", "O", "O", "O", "O", "O", "O", "O", "Nb", "Rb", "Rb", "Rb", "Rb", "Nb", "O", "Nb", "O", "O", "Nb", "O", "Nb", "Rb", "O", "O", "Nb", "Nb", "O", "Rb", "Nb", "O", "O", "O", "O", "O", "O", "Rb", "Nb", "O", "Nb", "O", "O", "O", "O", "O", "O", "O", "Rb", "O", "O", "Rb", "O", "O", "O", "O", "O", "Nb", "O", "O", "Nb"],
  "fractional_positions": [[0.613, 0.602, 0.425], [0.613, 0.011, 0.687], [0.898, 0.575, 0.887], [0.511, 0.824, 0.898], [0.375, 0.125, 0.750], [0.000, 0.500, 0.000], [0.750, 0.875, 0.625], [0.500, 0.000, 0.500], [0.250, 0.375, 0.625], [0.313, 0.824, 0.425], [0.875, 0.750, 0.125], [0.102, 0.425, 0.113], [0.687, 0.511, 0.613], [0.989, 0.387, 0.813], [0.398, 0.387, 0.075], [0.324, 0.425, 0.813], [0.887, 0.075, 0.898], [0.125, 0.750, 0.375], [0.500, 0.500, 0.000], [0.750, 0.625, 0.375], [0.750, 0.375, 0.125], [0.625, 0.750, 0.875], [0.602, 0.613, 0.925], [0.824, 0.313, 0.925], [0.075, 0.187, 0.176], [0.324, 0.898, 0.011], [0.687, 0.176, 0.575], [0.813, 0.887, 0.989], [0.602, 0.989, 0.176], [0.000, 0.000, 0.000], [0.125, 0.250, 0.875], [0.375, 0.625, 0.250], [0.250, 0.125, 0.375], [0.375, 0.750, 0.625], [0.000, 0.500, 0.500], [0.489, 0.313, 0.887], [0.500, 0.000, 0.000], [0.387, 0.989, 0.313], [0.425, 0.324, 0.313], [0.625, 0.875, 0.250], [0.989, 0.602, 0.676], [0.375, 0.250, 0.125], [0.625, 0.375, 0.750], [0.113, 0.187, 0.511], [0.313, 0.489, 0.387], [0.125, 0.375, 0.250], [0.000, 0.000, 0.500], [0.575, 0.676, 0.687], [0.250, 0.625, 0.875], [0.875, 0.625, 0.750], [0.387, 0.398, 0.575], [0.925, 0.813, 0.824], [0.187, 0.075, 0.676], [0.813, 0.925, 0.324], [0.425, 0.102, 0.613], [0.898, 0.324, 0.511], [0.625, 0.250, 0.375], [0.250, 0.875, 0.125], [0.676, 0.575, 0.187], [0.875, 0.250, 0.625], [0.176, 0.687, 0.075], [0.676, 0.102, 0.989], [0.176, 0.489, 0.602], [0.113, 0.925, 0.102], [0.887, 0.813, 0.489], [0.187, 0.113, 0.011], [0.011, 0.398, 0.324], [0.875, 0.125, 0.250], [0.511, 0.687, 0.113], [0.575, 0.898, 0.387], [0.125, 0.875, 0.750], [0.824, 0.511, 0.398], [0.102, 0.676, 0.489], [0.489, 0.176, 0.102], [0.398, 0.011, 0.824], [0.925, 0.113, 0.602], [0.500, 0.500, 0.500], [0.011, 0.613, 0.187], [0.075, 0.887, 0.398], [0.750, 0.125, 0.875]]
}

---

2.
{
  "formula": "Rb8NbO6",
  "functional": "PBE",
  "state": "optimized geometry",
  "final_energy_ha_per_atom": -0.170,
  "raw_formation_energy_ev_per_atom": -1.4573,
  "lattice_angstrom": [[8.188, 0.000, 0.000], [0.000, 7.892, 0.000], [0.000, 0.000, 14.574]],
  "species": ["Rb", "Rb", "Rb", "Nb", "Rb", "Rb", "O", "Rb", "Rb", "Rb", "O", "O", "Rb", "Rb", "Rb", "Rb", "O", "O", "O", "O", "O", "O", "Nb", "Rb", "Rb", "O", "Rb", "O", "Rb", "O"],
  "fractional_positions": [[0.065, 0.789, 0.870], [0.427, 0.244, 0.717], [0.573, 0.256, 0.217], [0.352, 0.500, 0.976], [0.384, 0.500, 0.473], [0.075, 0.232, 0.125], [0.059, 0.500, 0.507], [0.228, 0.000, 0.531], [0.925, 0.268, 0.625], [0.075, 0.768, 0.125], [0.640, 0.000, 0.347], [0.452, 0.693, 0.027], [0.925, 0.732, 0.625], [0.935, 0.711, 0.370], [0.065, 0.211, 0.870], [0.427, 0.756, 0.717], [0.941, 0.000, 0.007], [0.452, 0.307, 0.027], [0.126, 0.500, 0.005], [0.184, 0.000, 0.719], [0.816, 0.500, 0.219], [0.874, 0.000, 0.505], [0.648, 0.000, 0.476], [0.935, 0.289, 0.370], [0.616, 0.000, 0.973], [0.548, 0.193, 0.527], [0.772, 0.500, 0.031], [0.548, 0.807, 0.527], [0.573, 0.744, 0.217], [0.360, 0.500, 0.847]]
}